Entry 1:
Crystalline LaTePt2 at its relaxed geometry, computed with PBE-GGA.

Structure (CIF):
```
data_LaTePt2
_space_group_name_H-M_alt 'I m m m'
_space_group_IT_number 71
_space_group_name_Hall '-I 2 2'
_cell_length_a 4.324
_cell_length_b 4.584
_cell_length_c 8.951
_cell_angle_alpha 90.00
_cell_angle_beta 90.00
_cell_angle_gamma 90.00
loop_
_atom_site_label
_atom_site_fract_x
_atom_site_fract_y
_atom_site_fract_z
La1 0.000 0.000 0.000
Te1 0.000 0.000 0.500
Pt1 0.000 0.500 0.244
```

VASP energy   -45.9 eV/cell
ΔE_f (raw)   -694 meV per atom
Spin magnetization   0.00 μB/f.u.

Entry 2:
Crystalline LaTePt at its relaxed geometry, computed with PBE-GGA.

Structure (CIF):
```
data_LaTePt
_space_group_name_H-M_alt 'C 1 2/m 1'
_space_group_IT_number 12
_space_group_name_Hall '-C 2y'
_cell_length_a 16.408
_cell_length_b 4.126
_cell_length_c 5.281
_cell_angle_alpha 90.00
_cell_angle_beta 108.25
_cell_angle_gamma 90.00
loop_
_atom_site_label
_atom_site_fract_x
_atom_site_fract_y
_atom_site_fract_z
La1 0.127 0.000 0.136
Te1 0.161 0.500 0.679
Pt1 0.010 0.500 0.258
```

VASP energy   -71.2 eV/cell
ΔE_f (raw)   -1227 meV per atom
Spin magnetization   0.00 μB/f.u.

Entry 3:
Crystalline LaZnTePt2 at its relaxed geometry, computed with PBE-GGA.

Structure (CIF):
```
data_LaZnTePt2
_space_group_name_H-M_alt 'P 4/m m m'
_space_group_IT_number 123
_space_group_name_Hall '-P 4 2'
_cell_length_a 4.773
_cell_length_b 4.773
_cell_length_c 5.223
_cell_angle_alpha 90.00
_cell_angle_beta 90.00
_cell_angle_gamma 90.00
loop_
_atom_site_label
_atom_site_fract_x
_atom_site_fract_y
_atom_site_fract_z
La1 0.000 0.000 0.000
Zn1 0.500 0.500 0.500
Te1 0.500 0.500 0.000
Pt1 0.000 0.500 0.500
```

VASP energy   -23.1 eV/cell
ΔE_f (raw)   -335 meV per atom
Spin magnetization   0.00 μB/f.u.

Q: Which formula does entry 3 have?
A: LaZnTePt2